## Ba2Ag2Pb (PBE)

Data for a relaxed structure of Ba2Ag2Pb.

a b c (Å): 4.065 4.065 20.606
angles (deg): 90.00 90.00 90.00
Sites, in units of the cell vectors:
1 Ba 0.000 0.000 0.112
2 Ba 0.000 0.000 0.888
3 Ba 0.500 0.500 0.388
4 Ba 0.500 0.500 0.612
5 Ag 0.000 0.500 0.250
6 Ag 0.000 0.500 0.750
7 Ag 0.500 0.000 0.250
8 Ag 0.500 0.000 0.750
9 Pb 0.000 0.000 0.500
10 Pb 0.500 0.500 0.000

Properties
* crystal system: tetragonal
* ΔE_f: -0.260 eV/atom
* uncorrected energy: -2.911 eV per atom